No. 1
Compound: ZnSbTe2Os
Source: Alexandria via LeMat-Bulk
Functional: PBE
Structure: optimized geometry

It has space group P4/mmm (No. 123), with a = 5.097 Å, b = 5.097 Å, c = 4.944 Å, α = 90.00°, β = 90.00° and γ = 90.00°. The distinct sites, in fractional coordinates, are Zn at (0.000, 0.000, 0.000), Sb at (0.000, 0.000, 0.500), Te at (0.000, 0.500, 0.000) and Os at (0.500, 0.500, 0.500).

As for the spin magnetization: 0.06 μB/atom. For the formation energy from raw total energies, the calculation gives 1498 meV/atom. As for the distance to the lowest polymorph of the same formula: 0.760 eV per atom.

No. 2
Compound: ZnSbTe2Os
Source: Alexandria via LeMat-Bulk
Functional: PBE
Structure: optimized geometry

It has space group P4/mmm (No. 123), with a = 5.398 Å, b = 5.398 Å, c = 5.034 Å, α = 90.00°, β = 90.00° and γ = 90.00°. The distinct sites, in fractional coordinates, are Zn at (0.000, 0.000, 0.000), Sb at (0.500, 0.500, 0.000), Te at (0.000, 0.500, 0.500) and Os at (0.500, 0.500, 0.500).

As for the spin magnetization: 0.00 μB/atom. For the formation energy from raw total energies, the calculation gives 738 meV/atom. As for the distance to the lowest polymorph of the same formula: 0.000 eV per atom.

No. 3
Compound: ZnSb2TeOs
Source: Alexandria via LeMat-Bulk
Functional: PBE
Structure: optimized geometry

It has space group P4/mmm (No. 123), with a = 5.001 Å, b = 5.001 Å, c = 5.144 Å, α = 90.00°, β = 90.00° and γ = 90.00°. The distinct sites, in fractional coordinates, are Zn at (0.000, 0.000, 0.000), Sb at (0.000, 0.500, 0.000), Te at (0.000, 0.000, 0.500) and Os at (0.500, 0.500, 0.500).

As for the spin magnetization: 0.26 μB/atom. For the formation energy from raw total energies, the calculation gives 1490 meV/atom. As for the distance to the lowest polymorph of the same formula: 0.809 eV per atom.

What is the formula in the second record?
ZnSbTe2Os

Please write out number 3 again, unchanged.
Compound: ZnSb2TeOs
Source: Alexandria via LeMat-Bulk
Functional: PBE
Structure: optimized geometry

It has space group P4/mmm (No. 123), with a = 5.001 Å, b = 5.001 Å, c = 5.144 Å, α = 90.00°, β = 90.00° and γ = 90.00°. The distinct sites, in fractional coordinates, are Zn at (0.000, 0.000, 0.000), Sb at (0.000, 0.500, 0.000), Te at (0.000, 0.000, 0.500) and Os at (0.500, 0.500, 0.500).

As for the spin magnetization: 0.26 μB/atom. For the formation energy from raw total energies, the calculation gives 1490 meV/atom. As for the distance to the lowest polymorph of the same formula: 0.809 eV per atom.

What is the distance to the lowest polymorph of the same formula in the third record?
0.809 eV per atom